Here is GaPdN2F after structural relaxation from the Alexandria database. Energies are from PBE.

```
data_GaPdN2F
_chemical_formula_sum 'Ga1 Pd1 N2 F1'
_cell_length_a 3.9738
_cell_length_b 3.9738
_cell_length_c 4.6598
_cell_angle_alpha 90.00
_cell_angle_beta 90.00
_cell_angle_gamma 90.00
_symmetry_space_group_name_H-M 'P 4/m m m'
_symmetry_Int_Tables_number 123
_symmetry_space_group_name_Hall '-P 4 2'
loop_
_atom_site_label
_atom_site_fract_x
_atom_site_fract_y
_atom_site_fract_z
_atom_site_occupancy
Ga1 0.0000 0.0000 0.0000 1
Pd1 0.5000 0.5000 0.5000 1
N1 0.0000 0.5000 0.5000 1
F1 0.5000 0.5000 0.0000 1
```

Results
Total magnetic moment (μB/f.u.): 3.15
Total energy (eV/atom): -4.537
Uncorrected formation energy (meV/atom): 811.0
Energy above the lowest structure with this stoichiometry (kJ/mol of atoms): 16.89
DOS at the Fermi energy (states/eV/f.u.): 2.57
Volume (Å³/atom): 14.72